Density functional theory data (PBE with a Hubbard U) for a geometry-optimized KVN2O structure.

Computed properties:
E_tot   -3.23 eV/atom
Crystal system   tetragonal

Unit cell a=4.137 b=4.137 c=4.279 alpha=90.00 beta=90.00 gamma=90.00
Space group P4/mmm (No. 123)
Asymmetric unit:
K  0.000  0.000  0.000 (multiplicity 1)
V  0.500  0.500  0.500 (multiplicity 1)
N  0.000  0.500  0.000 (multiplicity 2)
O  0.000  0.000  0.500 (multiplicity 1)